Record 1
This record from Alexandria via LeMat-Bulk describes a PBEsol-optimized structure of Ba5Li3. The functional is meta-GGA SCAN.

Lattice parameters (Å, degrees): 10.6209 10.6209 7.5711 90.00 90.00 120.00
Space group P6_3/mcm (No. 193)
Symmetry-distinct sites (fractional):
Ba1 0.0000 0.2472 0.2500 (multiplicity 6)
Ba2 0.3333 0.6667 0.0000 (multiplicity 4)
Li1 0.0000 0.4057 0.7500 (multiplicity 6)

Properties
DFT formation energy in eV/atom: 0.021
Energy above the most stable polymorph in this dataset in meV/atom: 0
Magnetic moment in μB/f.u.: 1.53

---

Record 2
This record from Alexandria via LeMat-Bulk describes a PBEsol-optimized structure of CrNiIr. The functional is meta-GGA SCAN.

Lattice parameters (Å, degrees): 2.6103 3.5751 7.6719 90.00 90.00 90.00
Space group Imm2 (No. 44)
Symmetry-distinct sites (fractional):
Cr1 0.0000 0.0000 0.0000 (multiplicity 2)
Ni1 0.0000 0.0000 0.3357 (multiplicity 2)
Ir1 0.0000 0.0000 0.6651 (multiplicity 2)

Properties
DFT formation energy in eV/atom: -0.164
Magnetic moment in μB/f.u.: 0.81

---

Record 3
This record from Alexandria via LeMat-Bulk describes a PBEsol-optimized structure of Mg2Cu3Si. The functional is meta-GGA SCAN.

Lattice parameters (Å, degrees): 4.9572 4.9572 7.7718 90.00 90.00 120.00
Space group P6_3/mmc (No. 194)
Symmetry-distinct sites (fractional):
Mg1 0.3333 0.6667 0.0615 (multiplicity 4)
Cu1 0.1686 0.3372 0.7500 (multiplicity 6)
Si1 0.0000 0.0000 0.0000 (multiplicity 2)

Properties
Magnetic moment in μB/f.u.: 0.00
Formation energy from raw total energies in eV/atom: -0.29

---

Record 4
This record from Alexandria via LeMat-Bulk describes a PBEsol-optimized structure of AgSnOF2. The functional is meta-GGA SCAN.

Lattice parameters (Å, degrees): 4.2603 4.2603 4.1172 90.00 90.00 90.00
Space group P4/mmm (No. 123)
Symmetry-distinct sites (fractional):
Ag1 0.0000 0.0000 0.0000 (multiplicity 1)
Sn1 0.5000 0.5000 0.5000 (multiplicity 1)
O1 0.0000 0.0000 0.5000 (multiplicity 1)
F1 0.0000 0.5000 0.0000 (multiplicity 2)

Properties
Magnetic moment in μB/f.u.: 0.00
Formation energy from raw total energies in eV/atom: -0.94

---

Record 5
This record from Alexandria via LeMat-Bulk describes a PBEsol-optimized structure of Tl2AsW. The functional is meta-GGA SCAN.

Lattice parameters (Å, degrees): 5.2129 5.2129 2.9985 90.00 90.00 90.00
Space group P4/mmm (No. 123)
Symmetry-distinct sites (fractional):
Tl1 0.0000 0.5000 0.0000 (multiplicity 2)
As1 0.0000 0.0000 0.5000 (multiplicity 1)
W1 0.5000 0.5000 0.5000 (multiplicity 1)

Properties
DFT formation energy in eV/atom: 1.095
Energy above the most stable polymorph in this dataset in meV/atom: 620
Magnetic moment in μB/f.u.: 0.00

---

Record 6
This record from Alexandria via LeMat-Bulk describes a PBEsol-optimized structure of RbTe2S. The functional is meta-GGA SCAN.

Lattice parameters (Å, degrees): 6.0530 6.0530 18.1803 90.00 90.00 90.00
Space group I4_1/amd (No. 141, origin choice 2)
Symmetry-distinct sites (fractional):
Rb1 0.0000 0.2500 0.3750 (multiplicity 4)
Te1 0.0000 0.0000 0.0000 (multiplicity 8)
S1 0.0000 0.2500 0.8750 (multiplicity 4)

Properties
Magnetic moment in μB/f.u.: 0.00
Formation energy from raw total energies in eV/atom: -0.38

---

Record 7
This record from Alexandria via LeMat-Bulk describes a PBEsol-optimized structure of MgZn2Ag2. The functional is meta-GGA SCAN.

Lattice parameters (Å, degrees): 7.3427 7.3427 3.0813 90.00 90.00 90.00
Space group P4/mbm (No. 127)
Symmetry-distinct sites (fractional):
Mg1 0.0000 0.0000 0.0000 (multiplicity 2)
Zn1 0.1589 0.3411 0.5000 (multiplicity 4)
Ag1 0.1393 0.6393 0.0000 (multiplicity 4)

Properties
DFT formation energy in eV/atom: -0.063
Energy above the most stable polymorph in this dataset in meV/atom: 0
Magnetic moment in μB/f.u.: 0.00

---

Record 8
This record from Alexandria via LeMat-Bulk describes a PBEsol-optimized structure of MgCu2O4. The functional is meta-GGA SCAN.

Lattice parameters (Å, degrees): 5.8647 5.8647 14.1941 90.00 90.00 120.00
Space group R3m (No. 160, hexagonal axes)
Symmetry-distinct sites (fractional):
Mg1 0.0000 0.0000 0.0000 (multiplicity 3)
Mg2 0.0000 0.0000 0.3872 (multiplicity 3)
Cu1 0.0000 0.0000 0.6200 (multiplicity 3)
Cu2 0.1677 0.3354 0.8337 (multiplicity 9)
O1 0.0000 0.0000 0.2482 (multiplicity 3)
O2 0.0000 0.0000 0.7503 (multiplicity 3)
O3 0.0339 0.5169 0.7604 (multiplicity 9)
O4 0.1792 0.3585 0.5713 (multiplicity 9)

Properties
Energy above the most stable polymorph in this dataset in meV/atom: 78
Magnetic moment in μB/f.u.: 2.00
Formation energy from raw total energies in eV/atom: -1.27

---

Repeat the sixth record exactly.
This record from Alexandria via LeMat-Bulk describes a PBEsol-optimized structure of RbTe2S. The functional is meta-GGA SCAN.

Lattice parameters (Å, degrees): 6.0530 6.0530 18.1803 90.00 90.00 90.00
Space group I4_1/amd (No. 141, origin choice 2)
Symmetry-distinct sites (fractional):
Rb1 0.0000 0.2500 0.3750 (multiplicity 4)
Te1 0.0000 0.0000 0.0000 (multiplicity 8)
S1 0.0000 0.2500 0.8750 (multiplicity 4)

Properties
Magnetic moment in μB/f.u.: 0.00
Formation energy from raw total energies in eV/atom: -0.38

---

Q: Look up the magnetic moment of the third one.
A: 0.00 μB/f.u.

---

Q: Look up the magnetic moment of the fourth one.
A: 0.00 μB/f.u.

---

Q: Look up the magnetic moment of the seventh one.
A: 0.00 μB/f.u.